No. 1
DFT (PBE) results for a geometry-optimized ZrHPd3 structure.

Values from the calculation:
* space-group type: No. 221
* total magnetic moment: 0.13 μB per atom
* calculated total energy: -21.4 eV/f.u.
* theoretical density: 5.6 g/cm³

```
5
Lattice="4.971 0.000 0.000 0.000 4.971 0.000 0.000 0.000 4.971" Properties=species:S:1:pos:R:3 pbc="T T T"
Zr 0.000 0.000 0.000
H 2.485 2.485 2.485
Pd 0.000 0.000 2.485
Pd 0.000 2.485 0.000
Pd 2.485 0.000 0.000
```


No. 2
DFT (PBE) results for a geometry-optimized Zr2TeIr2 structure.

Values from the calculation:
* uncorrected formation energy: -0.6335 eV/atom
* space-group type: No. 127
* total magnetic moment: 0.00 μB per atom
* theoretical density: 11.6 g/cm³

```
10
Lattice="7.921 0.000 0.000 0.000 7.921 0.000 0.000 0.000 3.161" Properties=species:S:1:pos:R:3 pbc="T T T"
Zr 1.253 2.707 0.000
Zr 2.707 6.668 0.000
Zr 5.214 1.253 0.000
Zr 6.668 5.214 0.000
Te 0.000 0.000 1.580
Te 3.961 3.961 1.580
Ir 1.047 5.007 1.580
Ir 2.914 1.047 1.580
Ir 5.007 6.874 1.580
Ir 6.874 2.914 1.580
```


No. 3
DFT (PBE) results for a geometry-optimized Mg3MnPt4 structure.

Values from the calculation:
* space-group type: No. 51
* formation energy from the elements: -734 meV per atom
* total magnetic moment: 0.54 μB per atom
* theoretical density: 12.0 g/cm³

```
16
Lattice="9.164 0.000 0.000 0.000 5.894 0.000 0.000 0.000 4.649" Properties=species:S:1:pos:R:3 pbc="T T T"
Mg 0.000 0.000 0.000
Mg 2.291 0.000 2.003
Mg 2.291 2.947 1.977
Mg 4.582 0.000 0.000
Mg 6.873 0.000 2.646
Mg 6.873 2.947 2.672
Mn 0.000 2.947 0.000
Mn 4.582 2.947 0.000
Pt 0.000 1.488 2.324
Pt 0.000 4.406 2.324
Pt 2.291 1.493 4.292
Pt 2.291 4.401 4.292
Pt 4.582 1.488 2.324
Pt 4.582 4.406 2.324
Pt 6.873 1.493 0.357
Pt 6.873 4.401 0.357
```


No. 4
DFT (PBE) results for a geometry-optimized CeSm2DyN4 structure.

Values from the calculation:
* uncorrected formation energy: -1.5524 eV/atom
* space-group type: No. 10
* total magnetic moment: 0.00 μB per atom
* theoretical density: 8.7 g/cm³

```
8
Lattice="6.133 0.000 0.000 0.000 3.555 0.000 -2.032 0.000 5.799" Properties=species:S:1:pos:R:3 pbc="T T T"
Ce 0.000 0.000 0.000
Sm -1.016 1.777 2.899
Sm 2.051 0.000 2.899
Dy 3.067 1.777 0.000
N 1.021 1.777 1.392
N -0.008 0.000 4.409
N 4.110 0.000 1.390
N 3.081 1.777 4.406
```